# 1
{
  "formula": "CsCd2Si",
  "functional": "GGA-PBE",
  "state": "optimized geometry",
  "cell": [[-2.7591, -4.1005, -3.6892], [-2.1236, -3.0174, 4.9420], [-9.3858, 1.1899, 0.5418]],
  "species": ["Cs", "Cs", "Si", "Si", "Cd", "Cd", "Cd", "Cd"],
  "frac_coords": [[0.0000, 0.0000, 0.0000], [0.7500, 0.2500, 0.5000], [0.5000, 0.5000, 0.0000], [0.2500, 0.7500, 0.5000], [0.3747, 0.1250, 0.2500], [0.3753, 0.6250, 0.2500], [0.3750, 0.6253, 0.7500], [0.8750, 0.6247, 0.7500]],
  "rho_g_cm3": 4.00,
  "e_form_raw_ev_per_atom": 0.156,
  "crystal_system": "tetragonal",
  "magmom_total_mub_per_fu": 0.00
}

# 2
{
  "formula": "NdDy3",
  "functional": "GGA-PBE",
  "state": "optimized geometry",
  "cell": [[5.7246, 0.0000, 0.0000], [0.0000, 7.2679, 0.0000], [0.0000, -3.6339, 6.2942]],
  "species": ["Nd", "Nd", "Dy", "Dy", "Dy", "Dy", "Dy", "Dy"],
  "frac_coords": [[0.2500, 0.6667, 0.3333], [0.7500, 0.3333, 0.6667], [0.7500, 0.8341, 0.1659], [0.7500, 0.8341, 0.6683], [0.7500, 0.3317, 0.1659], [0.2500, 0.1659, 0.8341], [0.2500, 0.1659, 0.3317], [0.2500, 0.6683, 0.8341]],
  "rho_g_cm3": 8.01,
  "e_above_lowest_polymorph_mev_per_atom": 0.0,
  "crystal_system": "hexagonal",
  "magmom_total_mub_per_fu": 0.00,
  "formation_enthalpy_0k_mev_per_atom": 15
}

# 3
{
  "formula": "HgHPb3",
  "functional": "GGA-PBE",
  "state": "optimized geometry",
  "cell": [[4.9907, 0.0000, 0.0000], [0.0000, 4.9907, 0.0000], [0.0000, 0.0000, 4.9907]],
  "species": ["Pb", "Pb", "Pb", "H", "Hg"],
  "frac_coords": [[0.0000, 0.5000, 0.0000], [0.0000, 0.0000, 0.5000], [0.5000, 0.0000, 0.0000], [0.0000, 0.0000, 0.0000], [0.5000, 0.5000, 0.5000]],
  "rho_g_cm3": 11.00,
  "e_above_lowest_polymorph_mev_per_atom": 0.0,
  "crystal_system": "cubic",
  "magmom_total_mub_per_fu": 0.00
}

# 4
{
  "formula": "AcCeScCd",
  "functional": "GGA-PBE",
  "state": "optimized geometry",
  "cell": [[-3.6643, -2.6210, 3.1510], [0.9379, -0.6056, 5.3832], [-3.0012, 2.8140, 3.6469]],
  "species": ["Sc", "Ac", "Ce", "Cd"],
  "frac_coords": [[0.0000, 0.0000, 0.0000], [0.2500, 0.2500, 0.2500], [0.5000, 0.5000, 0.5000], [0.7500, 0.7500, 0.7500]],
  "rho_g_cm3": 7.41,
  "crystal_system": "cubic",
  "magmom_total_mub_per_fu": 2.57,
  "formation_enthalpy_0k_mev_per_atom": 130
}

# 5
{
  "formula": "MgCd5In",
  "functional": "GGA-PBE",
  "state": "optimized geometry",
  "cell": [[7.0187, 1.4151, 1.1825], [3.5687, 6.2071, 1.1825], [5.0859, 3.6615, 9.8119]],
  "species": ["Mg", "Mg", "Cd", "Cd", "Cd", "Cd", "Cd", "Cd", "Cd", "Cd", "Cd", "Cd", "In", "In"],
  "frac_coords": [[0.2494, 0.7506, 0.2500], [0.7506, 0.2494, 0.7500], [0.7543, 0.7632, 0.0325], [0.3452, 0.3338, 0.6430], [0.7632, 0.7543, 0.5325], [0.7494, 0.2506, 0.2500], [0.6662, 0.6548, 0.8570], [0.3338, 0.3452, 0.1430], [0.2506, 0.7494, 0.7500], [0.2368, 0.2457, 0.4675], [0.6548, 0.6662, 0.3570], [0.2457, 0.2368, 0.9675], [0.0000, 0.0000, 0.0000], [0.0000, 0.0000, 0.5000]],
  "rho_g_cm3": 6.97,
  "crystal_system": "monoclinic",
  "magmom_total_mub_per_fu": 0.00,
  "formation_enthalpy_0k_mev_per_atom": 21
}

# 6
{
  "formula": "InAsW2",
  "functional": "GGA-PBE",
  "state": "optimized geometry",
  "cell": [[-0.7264, 3.0530, -0.0421], [-1.6984, -0.4400, -2.6024], [-5.6864, -1.2988, 3.9308]],
  "species": ["As", "W", "W", "In"],
  "frac_coords": [[0.5000, 0.5000, 0.2500], [0.0000, 0.0000, 0.0504], [0.0000, 0.0000, 0.4496], [0.5000, 0.5000, 0.7500]],
  "rho_g_cm3": 13.36,
  "e_above_lowest_polymorph_mev_per_atom": 287.5,
  "crystal_system": "tetragonal",
  "magmom_total_mub_per_fu": 0.01,
  "formation_enthalpy_0k_mev_per_atom": 512
}